DFT (PBE-GGA) results for Ta4Ni4Rh3 after structural relaxation.

Cell lengths 2.867, 8.444, 13.435 Å; angles 90.00, 90.00, 90.00 degrees
Space group Immm (No. 71)
One atom of each set of equivalent atoms:
Ta1 0.000 0.000 0.196 x4
Ta2 0.000 0.218 0.500 x4
Ni1 0.000 0.246 0.320 x8
Rh1 0.000 0.000 0.000 x2
Rh2 0.000 0.500 0.113 x4

***

DFT (PBE-GGA) results for Tb4Ni3Rh after structural relaxation.

Cell lengths 3.744, 4.238, 10.380 Å; angles 90.00, 90.00, 90.00 degrees
Space group Pmm2 (No. 25)
One atom of each set of equivalent atoms:
Tb1 0.000 0.000 0.000 x1
Tb2 0.000 0.500 0.276 x1
Tb3 0.500 0.000 0.498 x1
Tb4 0.500 0.500 0.779 x1
Ni1 0.000 0.500 0.557 x1
Ni2 0.500 0.000 0.209 x1
Ni3 0.500 0.500 0.069 x1
Rh1 0.000 0.000 0.720 x1

***

DFT (PBE-GGA) results for Tb3NiRh after structural relaxation.

Cell lengths 7.462, 3.964, 8.327 Å; angles 90.00, 108.61, 90.00 degrees
Space group P2_1/m (No. 11)
One atom of each set of equivalent atoms:
Tb1 0.097 0.250 0.244 x2
Tb2 0.306 0.250 0.934 x2
Tb3 0.360 0.750 0.603 x2
Ni1 0.058 0.250 0.583 x2
Rh1 0.371 0.750 0.199 x2

***

| no. | formation energy from the elements (meV/atom) | DFT total energy (eV for the cell shown) | N(E_F) (states/eV/atom) |
| --- | --- | --- | --- |
| 1 | -141 | -188.28 | 0.97 |
| 2 | -541 | -47.55 | 0.57 |
| 3 | -532 | -59.37 | 0.75 |